# 1
# Pm2PdAu GGA-PBEsol optimized geometry
# Magnetization, Bohr magnetons per cell: 0.0
# Energy of formation from the pure elements, eV per atom: -0.741
# Fermi-level density of states, states/eV per cell: 14.3
# Calculated density, Mg/m³: 10.74
data_Pm2PdAu
_chemical_formula_sum 'Pm8 Pd4 Au4'
_cell_length_a 7.1601
_cell_length_b 7.1601
_cell_length_c 7.1601
_cell_angle_alpha 90.00
_cell_angle_beta 90.00
_cell_angle_gamma 90.00
_space_group_name_H-M_alt 'F m -3 m'
_space_group_IT_number 225
_space_group_name_Hall '-F 4 2 3'
loop_
_atom_site_label
_atom_site_fract_x
_atom_site_fract_y
_atom_site_fract_z
_atom_site_occupancy
Pm1 0.2500 0.2500 0.2500 1
Pd1 0.0000 0.0000 0.0000 1
Au1 0.0000 0.0000 0.5000 1

---

# 2
# PdPtAu2 GGA-PBEsol optimized geometry
# Magnetization, Bohr magnetons per cell: 0.0
# Energy of formation from the pure elements, eV per atom: 0.027
# Fermi-level density of states, states/eV per cell: 13.5
# Calculated density, Mg/m³: 18.23
data_PdPtAu2
_chemical_formula_sum 'Pd4 Pt4 Au8'
_cell_length_a 6.3285
_cell_length_b 6.3285
_cell_length_c 6.3285
_cell_angle_alpha 90.00
_cell_angle_beta 90.00
_cell_angle_gamma 90.00
_space_group_name_H-M_alt 'F m -3 m'
_space_group_IT_number 225
_space_group_name_Hall '-F 4 2 3'
loop_
_atom_site_label
_atom_site_fract_x
_atom_site_fract_y
_atom_site_fract_z
_atom_site_occupancy
Pd1 0.0000 0.0000 0.0000 1
Pt1 0.0000 0.0000 0.5000 1
Au1 0.2500 0.2500 0.2500 1

---

# 3
# PdPtAu GGA-PBEsol optimized geometry
# Magnetization, Bohr magnetons per cell: 0.0
# Energy of formation from the pure elements, eV per atom: -0.011
# Fermi-level density of states, states/eV per cell: 4.2
# Calculated density, Mg/m³: 17.93
data_PdPtAu
_chemical_formula_sum 'Pd1 Pt1 Au1'
_cell_length_a 2.7797
_cell_length_b 2.7797
_cell_length_c 6.9006
_cell_angle_alpha 90.00
_cell_angle_beta 90.00
_cell_angle_gamma 120.00
_space_group_name_H-M_alt 'P 3 m 1'
_space_group_IT_number 156
_space_group_name_Hall 'P 3 -2"'
loop_
_atom_site_label
_atom_site_fract_x
_atom_site_fract_y
_atom_site_fract_z
_atom_site_occupancy
Pd1 0.0000 0.0000 0.0000 1
Pt1 0.3333 0.6667 0.6756 1
Au1 0.6667 0.3333 0.3332 1

---

# 4
# Pd2AuS GGA-PBEsol optimized geometry
# Magnetization, Bohr magnetons per cell: 0.0
# Final energy, eV for the cell shown: -78.970
# Fermi-level density of states, states/eV per cell: 10.6
# Calculated density, Mg/m³: 12.07
data_Pd2AuS
_chemical_formula_sum 'Pd8 Au4 S4'
_cell_length_a 6.2420
_cell_length_b 6.2420
_cell_length_c 6.2420
_cell_angle_alpha 90.00
_cell_angle_beta 90.00
_cell_angle_gamma 90.00
_space_group_name_H-M_alt 'F m -3 m'
_space_group_IT_number 225
_space_group_name_Hall '-F 4 2 3'
loop_
_atom_site_label
_atom_site_fract_x
_atom_site_fract_y
_atom_site_fract_z
_atom_site_occupancy
Pd1 0.2500 0.2500 0.2500 1
Au1 0.0000 0.0000 0.0000 1
S1 0.0000 0.0000 0.5000 1

---

# 5
# Sb2Pd2Au GGA-PBEsol optimized geometry
# Magnetization, Bohr magnetons per cell: 0.0
# Final energy, eV for the cell shown: -50.512
# Fermi-level density of states, states/eV per cell: 4.8
# Calculated density, Mg/m³: 10.74
data_Sb2Pd2Au
_chemical_formula_sum 'Sb4 Pd4 Au2'
_cell_length_a 3.7705
_cell_length_b 3.7705
_cell_length_c 14.2037
_cell_angle_alpha 90.00
_cell_angle_beta 90.00
_cell_angle_gamma 90.00
_space_group_name_H-M_alt 'I 4/m m m'
_space_group_IT_number 139
_space_group_name_Hall '-I 4 2'
loop_
_atom_site_label
_atom_site_fract_x
_atom_site_fract_y
_atom_site_fract_z
_atom_site_occupancy
Sb1 0.0000 0.0000 0.1120 1
Pd1 0.0000 0.5000 0.2500 1
Au1 0.0000 0.0000 0.5000 1

---

# 6
# Sb8Pd3Au GGA-PBEsol optimized geometry
# Magnetization, Bohr magnetons per cell: 0.0
# Final energy, eV for the cell shown: -186.244
# Fermi-level density of states, states/eV per cell: 10.8
# Calculated density, Mg/m³: 8.99
data_Sb8Pd3Au
_chemical_formula_sum 'Sb24 Pd9 Au3'
_cell_length_a 9.1852
_cell_length_b 9.1852
_cell_length_c 11.3045
_cell_angle_alpha 90.00
_cell_angle_beta 90.00
_cell_angle_gamma 120.00
_space_group_name_H-M_alt 'R -3'
_space_group_IT_number 148
_space_group_name_Hall '-R 3'
loop_
_atom_site_label
_atom_site_fract_x
_atom_site_fract_y
_atom_site_fract_z
_atom_site_occupancy
Sb1 0.0000 0.0000 0.1270 1
Sb2 0.0037 0.2578 0.6273 1
Pd1 0.0000 0.5000 0.5000 1
Au1 0.0000 0.0000 0.5000 1

---

# 7
# ScPd2Au2 GGA-PBEsol optimized geometry
# Magnetization, Bohr magnetons per cell: 0.0
# Energy of formation from the pure elements, eV per atom: -0.339
# Fermi-level density of states, states/eV per cell: 6.6
# Calculated density, Mg/m³: 12.08
data_ScPd2Au2
_chemical_formula_sum 'Sc2 Pd4 Au4'
_cell_length_a 3.7152
_cell_length_b 3.7152
_cell_length_c 12.9796
_cell_angle_alpha 90.00
_cell_angle_beta 90.00
_cell_angle_gamma 90.00
_space_group_name_H-M_alt 'I 4/m m m'
_space_group_IT_number 139
_space_group_name_Hall '-I 4 2'
loop_
_atom_site_label
_atom_site_fract_x
_atom_site_fract_y
_atom_site_fract_z
_atom_site_occupancy
Sc1 0.0000 0.0000 0.0000 1
Pd1 0.0000 0.5000 0.2500 1
Au1 0.0000 0.0000 0.3997 1

---

# 8
# Sc2Pd2Au GGA-PBEsol optimized geometry
# Magnetization, Bohr magnetons per cell: 0.0
# Energy of formation from the pure elements, eV per atom: -0.820
# Fermi-level density of states, states/eV per cell: 7.4
# Calculated density, Mg/m³: 9.41
data_Sc2Pd2Au
_chemical_formula_sum 'Sc4 Pd4 Au2'
_cell_length_a 7.2879
_cell_length_b 7.2879
_cell_length_c 3.3222
_cell_angle_alpha 90.00
_cell_angle_beta 90.00
_cell_angle_gamma 90.00
_space_group_name_H-M_alt 'P 4/m b m'
_space_group_IT_number 127
_space_group_name_Hall '-P 4 2ab'
loop_
_atom_site_label
_atom_site_fract_x
_atom_site_fract_y
_atom_site_fract_z
_atom_site_occupancy
Sc1 0.1712 0.3288 0.0000 1
Pd1 0.1314 0.6314 0.5000 1
Au1 0.0000 0.0000 0.5000 1

---

# 9
# Sc2PdAu GGA-PBEsol optimized geometry
# Magnetization, Bohr magnetons per cell: 0.0
# Energy of formation from the pure elements, eV per atom: -0.849
# Fermi-level density of states, states/eV per cell: 11.5
# Calculated density, Mg/m³: 9.02
data_Sc2PdAu
_chemical_formula_sum 'Sc8 Pd4 Au4'
_cell_length_a 6.6157
_cell_length_b 6.6157
_cell_length_c 6.6157
_cell_angle_alpha 90.00
_cell_angle_beta 90.00
_cell_angle_gamma 90.00
_space_group_name_H-M_alt 'F m -3 m'
_space_group_IT_number 225
_space_group_name_Hall '-F 4 2 3'
loop_
_atom_site_label
_atom_site_fract_x
_atom_site_fract_y
_atom_site_fract_z
_atom_site_occupancy
Sc1 0.2500 0.2500 0.2500 1
Pd1 0.0000 0.0000 0.0000 1
Au1 0.0000 0.0000 0.5000 1

---

# 10
# ScPd3Au GGA-PBEsol optimized geometry
# Magnetization, Bohr magnetons per cell: 0.0
# Energy of formation from the pure elements, eV per atom: 0.673
# Fermi-level density of states, states/eV per cell: 3.7
# Calculated density, Mg/m³: 8.30
data_ScPd3Au
_chemical_formula_sum 'Sc1 Pd3 Au1'
_cell_length_a 4.8242
_cell_length_b 4.8242
_cell_length_c 4.8242
_cell_angle_alpha 90.00
_cell_angle_beta 90.00
_cell_angle_gamma 90.00
_space_group_name_H-M_alt 'P m -3 m'
_space_group_IT_number 221
_space_group_name_Hall '-P 4 2 3'
loop_
_atom_site_label
_atom_site_fract_x
_atom_site_fract_y
_atom_site_fract_z
_atom_site_occupancy
Sc1 0.0000 0.0000 0.0000 1
Pd1 0.0000 0.5000 0.5000 1
Au1 0.5000 0.5000 0.5000 1

---

# 11
# Pd2AuSe2 GGA-PBEsol optimized geometry
# Magnetization, Bohr magnetons per cell: 0.0
# Final energy, eV for the cell shown: -45.464
# Fermi-level density of states, states/eV per cell: 6.6
# Calculated density, Mg/m³: 10.28
data_Pd2AuSe2
_chemical_formula_sum 'Pd4 Au2 Se4'
_cell_length_a 3.8206
_cell_length_b 3.8206
_cell_length_c 12.5626
_cell_angle_alpha 90.00
_cell_angle_beta 90.00
_cell_angle_gamma 90.00
_space_group_name_H-M_alt 'I 4/m m m'
_space_group_IT_number 139
_space_group_name_Hall '-I 4 2'
loop_
_atom_site_label
_atom_site_fract_x
_atom_site_fract_y
_atom_site_fract_z
_atom_site_occupancy
Pd1 0.0000 0.5000 0.2500 1
Au1 0.0000 0.0000 0.0000 1
Se1 0.0000 0.0000 0.3854 1

---

# 12
# SnPdAu3 GGA-PBEsol optimized geometry
# Magnetization, Bohr magnetons per cell: 0.0
# Energy of formation from the pure elements, eV per atom: 0.640
# Fermi-level density of states, states/eV per cell: 1.7
# Calculated density, Mg/m³: 11.33
data_SnPdAu3
_chemical_formula_sum 'Sn1 Pd1 Au3'
_cell_length_a 4.9270
_cell_length_b 4.9270
_cell_length_c 4.9270
_cell_angle_alpha 90.00
_cell_angle_beta 90.00
_cell_angle_gamma 90.00
_space_group_name_H-M_alt 'P m -3 m'
_space_group_IT_number 221
_space_group_name_Hall '-P 4 2 3'
loop_
_atom_site_label
_atom_site_fract_x
_atom_site_fract_y
_atom_site_fract_z
_atom_site_occupancy
Sn1 0.0000 0.0000 0.0000 1
Pd1 0.5000 0.5000 0.5000 1
Au1 0.0000 0.5000 0.5000 1

---

# 13
# Sr2Pd2Au GGA-PBEsol optimized geometry
# Magnetization, Bohr magnetons per cell: 0.0
# Energy of formation from the pure elements, eV per atom: -0.547
# Fermi-level density of states, states/eV per cell: 4.1
# Calculated density, Mg/m³: 8.41
data_Sr2Pd2Au
_chemical_formula_sum 'Sr4 Pd4 Au2'
_cell_length_a 7.3414
_cell_length_b 7.3414
_cell_length_c 4.2864
_cell_angle_alpha 90.00
_cell_angle_beta 90.00
_cell_angle_gamma 90.00
_space_group_name_H-M_alt 'P 4/m b m'
_space_group_IT_number 127
_space_group_name_Hall '-P 4 2ab'
loop_
_atom_site_label
_atom_site_fract_x
_atom_site_fract_y
_atom_site_fract_z
_atom_site_occupancy
Sr1 0.1766 0.3234 0.0000 1
Pd1 0.1304 0.6304 0.5000 1
Au1 0.0000 0.0000 0.5000 1

---

# 14
# Sr2PdAu GGA-PBEsol optimized geometry
# Magnetization, Bohr magnetons per cell: 0.0
# Energy of formation from the pure elements, eV per atom: -0.584
# Fermi-level density of states, states/eV per cell: 7.9
# Calculated density, Mg/m³: 7.82
data_Sr2PdAu
_chemical_formula_sum 'Sr8 Pd4 Au4'
_cell_length_a 7.4088
_cell_length_b 7.4088
_cell_length_c 7.4088
_cell_angle_alpha 90.00
_cell_angle_beta 90.00
_cell_angle_gamma 90.00
_space_group_name_H-M_alt 'F m -3 m'
_space_group_IT_number 225
_space_group_name_Hall '-F 4 2 3'
loop_
_atom_site_label
_atom_site_fract_x
_atom_site_fract_y
_atom_site_fract_z
_atom_site_occupancy
Sr1 0.2500 0.2500 0.2500 1
Pd1 0.0000 0.0000 0.0000 1
Au1 0.0000 0.0000 0.5000 1